Fe2TcIr: optimized geometry, GGA-PBE.

Lattice parameters (Å, degrees): 8.6695 8.6695 8.6695 17.75 17.75 17.75
With the nearest neighbours (Å) after each atom.
Positions (direct):
1 Fe 0.0004 0.0004 0.0004  3 Tc 2.63, 3 Ir 2.64, 6 Fe 2.68
2 Fe 0.4996 0.4996 0.4996  3 Tc 2.63, 3 Ir 2.64, 6 Fe 2.68
3 Ir 0.2500 0.2500 0.2500  6 Fe 2.64, 6 Ir 2.68
4 Tc 0.7500 0.7500 0.7500  6 Fe 2.63, 6 Tc 2.68

The space group is R-3m (166). The value obtained for the energy relative to the elements is 102 meV per atom. As for the density of states at the Fermi level: 6.0 states/eV per cell.


Fe2TcIr: optimized geometry, GGA-PBE.

Lattice parameters (Å, degrees): 4.6089 4.6089 4.5254 80.46 80.46 33.69
With the nearest neighbours (Å) after each atom.
Positions (direct):
1 Fe 0.0024 0.0024 0.9935  4 Ir 2.61-2.64, 5 Fe 2.63-2.67, 3 Tc 2.64-2.70
2 Fe 0.7508 0.7508 0.7562  4 Tc 2.61-2.65, 5 Fe 2.63-2.67, 3 Ir 2.65-2.69
3 Ir 0.4985 0.4985 0.4986  7 Fe 2.61-2.69, 3 Tc 2.64-2.65, 2 Ir 2.67
4 Tc 0.2483 0.2483 0.2517  7 Fe 2.61-2.70, 3 Ir 2.64-2.65, 2 Tc 2.67

The space group is Cm (8). The value obtained for the energy relative to the elements is 11 meV per atom. As for the density of states at the Fermi level: 4.7 states/eV per cell.


Fe4TcIr: optimized geometry, GGA-PBE.

Lattice parameters (Å, degrees): 4.6804 4.6804 4.6804 60.00 60.00 60.00
With the nearest neighbours (Å) after each atom.
Positions (direct):
1 Fe 0.1252 0.6249 0.6249  6 Fe 2.34
2 Fe 0.6249 0.6249 0.6249  6 Fe 2.34
3 Fe 0.6249 0.1252 0.6249  6 Fe 2.34
4 Fe 0.6249 0.6249 0.1252  6 Fe 2.34
5 Ir 0.2500 0.2500 0.2500  12 Fe 2.74, 4 Tc 2.87
6 Tc 0.0000 0.0000 0.0000  12 Fe 2.74, 4 Ir 2.87

The space group is F-43m (216). The value obtained for the energy relative to the elements is -4 meV per atom. As for the density of states at the Fermi level: 4.4 states/eV per cell.


Fe2TcIr6: optimized geometry, GGA-PBE.

Lattice parameters (Å, degrees): 7.2355 7.2355 7.2355 158.77 105.48 78.52
With the nearest neighbours (Å) after each atom.
Positions (direct):
1 Fe 0.6077 0.1077 0.5000  3 Fe 2.41-2.67, 6 Ir 2.50-2.55
2 Fe 0.3923 0.8923 0.5000  3 Fe 2.41-2.67, 6 Ir 2.50-2.55
3 Tc 0.0000 0.0000 0.0000  2 Tc 2.67, 12 Ir 2.84-2.96
4 Ir 0.0513 0.6941 0.3572  6 Ir 2.50-2.67, 1 Fe 2.55
5 Ir 0.9487 0.3059 0.6428  6 Ir 2.50-2.67, 1 Fe 2.55
6 Ir 0.6631 0.3059 0.3572  6 Ir 2.50-2.67, 1 Fe 2.55
7 Ir 0.6981 0.5000 0.1981  4 Fe 2.50, 4 Ir 2.58-2.67
8 Ir 0.3019 0.5000 0.8019  4 Fe 2.50, 4 Ir 2.58-2.67
9 Ir 0.3369 0.6941 0.6428  6 Ir 2.50-2.67, 1 Fe 2.55

The space group is Immm (71). The value obtained for the energy relative to the elements is 330 meV per atom. As for the density of states at the Fermi level: 11.9 states/eV per cell.


Fe2TcIr: optimized geometry, GGA-PBE.

Lattice parameters (Å, degrees): 4.2136 4.2136 2.9752 90.00 90.00 90.00
With the nearest neighbours (Å) after each atom.
Positions (direct):
1 Fe 0.0000 0.0000 0.0000  4 Tc 2.58, 4 Ir 2.58
2 Fe 0.5000 0.5000 0.0000  4 Tc 2.58, 4 Ir 2.58
3 Ir 0.5000 0.0000 0.5000  8 Fe 2.58
4 Tc 0.0000 0.5000 0.5000  8 Fe 2.58

The space group is P4/mmm (123). The value obtained for the energy relative to the elements is 90 meV per atom. As for the density of states at the Fermi level: 4.5 states/eV per cell.


FeTcIr6: optimized geometry, GGA-PBE.

Lattice parameters (Å, degrees): 3.8487 3.8487 7.7070 90.00 90.00 90.00
With the nearest neighbours (Å) after each atom.
Positions (direct):
1 Fe 0.0000 0.0000 0.0000  12 Ir 2.72-2.73
2 Tc 0.0000 0.0000 0.5000  12 Ir 2.72
3 Ir 0.5000 0.5000 0.0000  4 Fe 2.72, 8 Ir 2.73
4 Ir 0.5000 0.5000 0.5000  8 Ir 2.72, 4 Tc 2.72
5 Ir 0.5000 0.0000 0.2505  2 Tc 2.72, 8 Ir 2.72-2.73, 2 Fe 2.73
6 Ir 0.5000 0.0000 0.7495  2 Tc 2.72, 8 Ir 2.72-2.73, 2 Fe 2.73
7 Ir 0.0000 0.5000 0.2505  2 Tc 2.72, 8 Ir 2.72-2.73, 2 Fe 2.73
8 Ir 0.0000 0.5000 0.7495  2 Tc 2.72, 8 Ir 2.72-2.73, 2 Fe 2.73

The space group is P4/mmm (123). The value obtained for the energy relative to the elements is -113 meV per atom. As for the density of states at the Fermi level: 6.9 states/eV per cell.


Fe2TcIr: optimized geometry, GGA-PBE.

Lattice parameters (Å, degrees): 4.9628 4.9628 4.9628 145.84 129.26 62.59
With the nearest neighbours (Å) after each atom.
Positions (direct):
1 Fe 0.9880 0.9880 0.0000  2 Fe 2.40, 2 Tc 2.58, 4 Ir 2.58
2 Fe 0.7639 0.2639 0.5000  2 Fe 2.40, 4 Tc 2.59, 2 Ir 2.60
3 Ir 0.5097 0.5097 0.0000  6 Fe 2.58-2.60, 4 Tc 2.72-2.88
4 Tc 0.2384 0.7384 0.5000  6 Fe 2.58-2.59, 4 Ir 2.72-2.88

The space group is Imm2 (44). The value obtained for the energy relative to the elements is 30 meV per atom. As for the density of states at the Fermi level: 3.6 states/eV per cell.


FeTcIr2: optimized geometry, GGA-PBE.

Lattice parameters (Å, degrees): 8.8976 8.8976 8.8976 17.61 17.61 17.61
With the nearest neighbours (Å) after each atom.
Positions (direct):
1 Fe 0.7493 0.7493 0.7493  3 Ir 2.61, 3 Tc 2.69, 6 Fe 2.72
2 Ir 0.0034 0.0034 0.0034  3 Fe 2.61, 9 Ir 2.72-2.81
3 Ir 0.2482 0.2482 0.2482  3 Tc 2.68, 9 Ir 2.72-2.81
4 Tc 0.4991 0.4991 0.4991  3 Ir 2.68, 3 Fe 2.69, 6 Tc 2.72

The space group is R3m (160). The value obtained for the energy relative to the elements is 22 meV per atom. As for the density of states at the Fermi level: 4.8 states/eV per cell. The calculation puts the energy above the most stable polymorph in this dataset at 0.159 eV/atom.


Question: Look up the energy relative to the elements of the sixth one.
Answer: -113 meV per atom


Question: The highest energy relative to the elements belongs to which entry?
Answer: Fe2TcIr6


What did the fourth record say?
Fe2TcIr6: optimized geometry, GGA-PBE.

Lattice parameters (Å, degrees): 7.2355 7.2355 7.2355 158.77 105.48 78.52
With the nearest neighbours (Å) after each atom.
Positions (direct):
1 Fe 0.6077 0.1077 0.5000  3 Fe 2.41-2.67, 6 Ir 2.50-2.55
2 Fe 0.3923 0.8923 0.5000  3 Fe 2.41-2.67, 6 Ir 2.50-2.55
3 Tc 0.0000 0.0000 0.0000  2 Tc 2.67, 12 Ir 2.84-2.96
4 Ir 0.0513 0.6941 0.3572  6 Ir 2.50-2.67, 1 Fe 2.55
5 Ir 0.9487 0.3059 0.6428  6 Ir 2.50-2.67, 1 Fe 2.55
6 Ir 0.6631 0.3059 0.3572  6 Ir 2.50-2.67, 1 Fe 2.55
7 Ir 0.6981 0.5000 0.1981  4 Fe 2.50, 4 Ir 2.58-2.67
8 Ir 0.3019 0.5000 0.8019  4 Fe 2.50, 4 Ir 2.58-2.67
9 Ir 0.3369 0.6941 0.6428  6 Ir 2.50-2.67, 1 Fe 2.55

The space group is Immm (71). The value obtained for the energy relative to the elements is 330 meV per atom. As for the density of states at the Fermi level: 11.9 states/eV per cell.